# CsNbSe2S

An optimized crystal structure of CsNbSe2S (PBE-GGA, Alexandria via LeMat-Bulk).

Output
Final energy: -26.1 eV for the cell shown
Raw formation energy: -0.826 eV per atom
Density: 5.157 g cm⁻³
Magnetization: 0.00 μB/cell
DOS(E_F): 1.4 states/eV/f.u.

POSCAR file:
```
CsNbSe2S
1.0
5.2152 0.0000 0.0000
0.0000 5.2152 0.0000
0.0000 0.0000 4.9221
Nb S Se Cs
1 1 2 1
Direct
0.0000 0.0000 0.0000
0.0000 0.0000 0.5000
0.5000 0.0000 0.0000
0.0000 0.5000 0.0000
0.5000 0.5000 0.5000
```

# KTlCdAu

An optimized crystal structure of KTlCdAu (PBE-GGA, Alexandria via LeMat-Bulk).

Output
Final energy: -7.9 eV for the cell shown
Density: 8.071 g cm⁻³
Magnetization: 0.00 μB/cell
DOS(E_F): 0.8 states/eV/f.u.

POSCAR file:
```
KTlCdAu
1.0
-5.1721 -0.0183 1.6814
-1.8533 -4.1038 3.0499
-1.1553 0.8204 5.2507
Au Tl Cd K
1 1 1 1
Direct
0.2500 0.2500 0.2500
0.0000 0.0000 0.0000
0.7500 0.7500 0.7500
0.5000 0.5000 0.5000
```

magnetization of number 1 (CsNbSe2S)? 0.00 μB/cell